Record 1
# Y2ZnRh PBE-GGA relaxed
data_Y2ZnRh
_chemical_formula_sum 'Y2 Zn1 Rh1'
_symmetry_space_group_name_H-M 'P 1'
_symmetry_Int_Tables_number 1
_symmetry_space_group_name_Hall 'P 1'
_cell_length_a 3.4469
_cell_length_b 3.4469
_cell_length_c 7.5710
_cell_angle_alpha 90.00
_cell_angle_beta 90.00
_cell_angle_gamma 90.00
loop_
_atom_site_label
_atom_site_type_symbol
_atom_site_fract_x
_atom_site_fract_y
_atom_site_fract_z
Rh1 Rh 0.5000 0.5000 0.7068
Y1 Y 0.5000 0.5000 0.3100
Y2 Y 0.0000 0.0000 0.9336
Zn1 Zn 0.0000 0.0000 0.5496
# - formation energy from the elements (meV/atom) = -378
# - total energy (eV/atom) = -5.77
# - magnetic moment (μB per cell) = 0.4

---

Record 2
# Y3ZnRh PBE-GGA relaxed
data_Y3ZnRh
_chemical_formula_sum 'Y6 Zn2 Rh2'
_symmetry_space_group_name_H-M 'P 1'
_symmetry_Int_Tables_number 1
_symmetry_space_group_name_Hall 'P 1'
_cell_length_a 5.6755
_cell_length_b 5.6755
_cell_length_c 9.3868
_cell_angle_alpha 65.30
_cell_angle_beta 65.30
_cell_angle_gamma 67.49
loop_
_atom_site_label
_atom_site_type_symbol
_atom_site_fract_x
_atom_site_fract_y
_atom_site_fract_z
Y1 Y 0.0797 0.0797 0.7067
Y2 Y 0.3042 0.3042 0.8916
Y3 Y 0.7136 0.7136 0.7062
Y4 Y 0.9203 0.9203 0.2933
Y5 Y 0.2864 0.2864 0.2938
Y6 Y 0.6958 0.6958 0.1084
Rh1 Rh 0.2501 0.7499 0.0000
Rh2 Rh 0.7499 0.2501 0.0000
Zn1 Zn 0.3048 0.6952 0.5000
Zn2 Zn 0.6952 0.3048 0.5000
# - formation energy from the elements (meV/atom) = -490
# - total energy (eV/atom) = -6.09
# - magnetic moment (μB per cell) = 0.0
# - E above lowest polymorph (meV/atom) = 0

---

Record 3
# YZnRh PBE-GGA relaxed
data_YZnRh
_chemical_formula_sum 'Y4 Zn4 Rh4'
_symmetry_space_group_name_H-M 'P 1'
_symmetry_Int_Tables_number 1
_symmetry_space_group_name_Hall 'P 1'
_cell_length_a 5.2798
_cell_length_b 4.6051
_cell_length_c 10.0948
_cell_angle_alpha 90.00
_cell_angle_beta 102.62
_cell_angle_gamma 90.00
loop_
_atom_site_label
_atom_site_type_symbol
_atom_site_fract_x
_atom_site_fract_y
_atom_site_fract_z
Y1 Y 0.1942 0.5000 0.8791
Y2 Y 0.8058 0.5000 0.1209
Y3 Y 0.1942 0.0000 0.3791
Y4 Y 0.8058 0.0000 0.6209
Rh1 Rh 0.3387 0.5000 0.2009
Rh2 Rh 0.3387 0.0000 0.7009
Rh3 Rh 0.6613 0.5000 0.7991
Rh4 Rh 0.6613 0.0000 0.2991
Zn1 Zn 0.7482 0.0000 0.9118
Zn2 Zn 0.7482 0.5000 0.4118
Zn3 Zn 0.2517 0.5000 0.5882
Zn4 Zn 0.2517 0.0000 0.0882
# - formation energy from the elements (meV/atom) = -604
# - total energy (eV/atom) = -5.63
# - magnetic moment (μB per cell) = 0.0

---

Record 4
# Y6ZnRh PBE-GGA relaxed
data_Y6ZnRh
_chemical_formula_sum 'Y6 Zn1 Rh1'
_symmetry_space_group_name_H-M 'P 1'
_symmetry_Int_Tables_number 1
_symmetry_space_group_name_Hall 'P 1'
_cell_length_a 6.7646
_cell_length_b 6.7658
_cell_length_c 7.3957
_cell_angle_alpha 62.79
_cell_angle_beta 62.80
_cell_angle_gamma 60.00
loop_
_atom_site_label
_atom_site_type_symbol
_atom_site_fract_x
_atom_site_fract_y
_atom_site_fract_z
Zn1 Zn 0.5000 0.5000 0.5000
Y1 Y 0.4220 0.7707 0.7477
Y2 Y 0.2294 0.9406 0.2523
Y3 Y 0.9404 0.5780 0.2523
Y4 Y 0.7706 0.0594 0.7477
Y5 Y 0.5780 0.2293 0.2523
Y6 Y 0.0596 0.4220 0.7477
Rh1 Rh 0.0000 0.0000 0.0000
# - formation energy from the elements (meV/atom) = -142
# - total energy (eV/atom) = -6.07
# - magnetic moment (μB per cell) = 0.0
# - E above lowest polymorph (meV/atom) = 128

---

Record 5
# Y6ZnRh5 PBE-GGA relaxed
data_Y6ZnRh5
_chemical_formula_sum 'Y6 Zn1 Rh5'
_symmetry_space_group_name_H-M 'P 1'
_symmetry_Int_Tables_number 1
_symmetry_space_group_name_Hall 'P 1'
_cell_length_a 4.8863
_cell_length_b 8.4878
_cell_length_c 8.4878
_cell_angle_alpha 120.28
_cell_angle_beta 106.68
_cell_angle_gamma 106.68
loop_
_atom_site_label
_atom_site_type_symbol
_atom_site_fract_x
_atom_site_fract_y
_atom_site_fract_z
Y1 Y 0.2528 0.0838 0.4221
Y2 Y 0.2436 0.7431 0.7431
Y3 Y 0.2528 0.4221 0.0838
Y4 Y 0.7472 0.5779 0.9162
Y5 Y 0.7564 0.2569 0.2569
Y6 Y 0.7472 0.9162 0.5779
Rh1 Rh 0.0000 0.3331 0.6669
Rh2 Rh 0.5000 0.5000 0.5000
Rh3 Rh 0.5000 0.1653 0.8347
Rh4 Rh 0.0000 0.6669 0.3331
Rh5 Rh 0.5000 0.8347 0.1653
Zn1 Zn 0.0000 0.0000 0.0000
# - formation energy from the elements (meV/atom) = -762
# - total energy (eV/atom) = -7.16
# - magnetic moment (μB per cell) = 0.0

---

Record 6
# Y2ZnRh PBE-GGA relaxed
data_Y2ZnRh
_chemical_formula_sum 'Y2 Zn1 Rh1'
_symmetry_space_group_name_H-M 'P 1'
_symmetry_Int_Tables_number 1
_symmetry_space_group_name_Hall 'P 1'
_cell_length_a 4.0160
_cell_length_b 4.0192
_cell_length_c 5.9150
_cell_angle_alpha 90.00
_cell_angle_beta 90.00
_cell_angle_gamma 90.00
loop_
_atom_site_label
_atom_site_type_symbol
_atom_site_fract_x
_atom_site_fract_y
_atom_site_fract_z
Y1 Y 0.5000 0.5000 0.3068
Y2 Y 0.0000 0.0000 0.9210
Zn1 Zn 0.0000 0.0000 0.4400
Rh1 Rh 0.5000 0.5000 0.8322
# - formation energy from the elements (meV/atom) = -321
# - total energy (eV/atom) = -5.71
# - magnetic moment (μB per cell) = 0.0

---

Record 7
# YZnRh PBE-GGA relaxed
data_YZnRh
_chemical_formula_sum 'Y4 Zn4 Rh4'
_symmetry_space_group_name_H-M 'P 1'
_symmetry_Int_Tables_number 1
_symmetry_space_group_name_Hall 'P 1'
_cell_length_a 3.6983
_cell_length_b 10.6246
_cell_length_c 5.8952
_cell_angle_alpha 90.00
_cell_angle_beta 90.00
_cell_angle_gamma 90.00
loop_
_atom_site_label
_atom_site_type_symbol
_atom_site_fract_x
_atom_site_fract_y
_atom_site_fract_z
Zn1 Zn 0.0000 0.6075 0.2500
Zn2 Zn 0.5000 0.8925 0.7500
Zn3 Zn 0.0000 0.3925 0.7500
Zn4 Zn 0.5000 0.1075 0.2500
Y1 Y 0.5000 0.1683 0.7500
Y2 Y 0.0000 0.6683 0.7500
Y3 Y 0.5000 0.8317 0.2500
Y4 Y 0.0000 0.3317 0.2500
Rh1 Rh 0.5000 0.5000 0.0000
Rh2 Rh 0.0000 0.0000 0.5000
Rh3 Rh 0.5000 0.5000 0.5000
Rh4 Rh 0.0000 0.0000 0.0000
# - formation energy from the elements (meV/atom) = -616
# - total energy (eV/atom) = -5.65
# - magnetic moment (μB per cell) = 0.0

---

Record 8
# Y2ZnRh PBE-GGA relaxed
data_Y2ZnRh
_chemical_formula_sum 'Y2 Zn1 Rh1'
_symmetry_space_group_name_H-M 'P 1'
_symmetry_Int_Tables_number 1
_symmetry_space_group_name_Hall 'P 1'
_cell_length_a 3.9058
_cell_length_b 3.9058
_cell_length_c 7.8364
_cell_angle_alpha 75.70
_cell_angle_beta 75.70
_cell_angle_gamma 59.80
loop_
_atom_site_label
_atom_site_type_symbol
_atom_site_fract_x
_atom_site_fract_y
_atom_site_fract_z
Rh1 Rh 0.2500 0.2500 0.2500
Y1 Y 0.9888 0.9888 0.0337
Y2 Y 0.5112 0.5112 0.4663
Zn1 Zn 0.7500 0.7500 0.7500
# - formation energy from the elements (meV/atom) = -432
# - total energy (eV/atom) = -5.82
# - magnetic moment (μB per cell) = 0.0